A plane-wave DFT calculation with PBE-GGA was carried out for ZrAlSi after structural relaxation.

POSCAR file:
```
ZrAlSi
1.0
4.128 0.000 0.000
-2.064 3.575 0.000
0.000 0.000 3.552
Zr Al Si
1 1 1
direct
0.000 0.000 0.000
0.667 0.333 0.500
0.333 0.667 0.500
```

The formation energy from raw total energies is -0.37 eV/atom. The calculation puts the density of states at the Fermi level at 2.0 states/eV/cell. The space group is P-6m2. As for the total magnetization: 0.0 μB per formula unit. The total energy comes out at -6.279 eV/atom. The crystal system is hexagonal.